# 1
The following is a DFT calculation (GGA-PBE) of a relaxed structure of KSb2Pb6.

Unit cell a=4.9631 b=4.9631 c=12.4318 alpha=90.00 beta=90.00 gamma=90.00
With the nearest neighbours (Å) after each atom.
Space group P4/mmm (No. 123)
One atom of each set of equivalent atoms:
K 0.0000 0.0000 0.0000 (multiplicity 1)  8 Sb 3.81
Sb 0.5000 0.5000 0.1187 (multiplicity 2)  1 Sb 2.95, 4 Pb 3.27
Pb 0.0000 0.0000 0.5000 (multiplicity 1)  12 Pb 3.51-3.60
Pb 0.0000 0.5000 0.2902 (multiplicity 4)  2 Sb 3.27, 8 Pb 3.51-3.60
Pb 0.5000 0.5000 0.5000 (multiplicity 1)  12 Pb 3.51-3.60

Computed properties:
The density of states at the Fermi level comes out at 3.88 states/eV/f.u. As for the crystal system: tetragonal. The raw formation energy is -0.81 eV per formula unit. As for the total energy: -32.41 eV for the cell shown.

# 2
The following is a DFT calculation (GGA-PBE) of a relaxed structure of Sb2PbW.

Unit cell a=3.4070 b=3.4070 c=8.1870 alpha=90.00 beta=90.00 gamma=90.00
With the nearest neighbours (Å) after each atom.
Space group P4/mmm (No. 123)
One atom of each set of equivalent atoms:
Sb 0.0000 0.0000 0.1949 (multiplicity 2)  4 W 2.89, 1 Sb 3.19
Pb 0.5000 0.5000 0.5000 (multiplicity 1)  4 Pb 3.41, 8 Sb 3.47
W 0.5000 0.5000 0.0000 (multiplicity 1)  8 Sb 2.89

Computed properties:
The density of states at the Fermi level comes out at 3.03 states/eV/f.u. As for the crystal system: tetragonal. The raw formation energy is 1.21 eV per formula unit. As for the total energy: -23.70 eV for the cell shown.

# 3
The following is a DFT calculation (GGA-PBE) of a relaxed structure of MgZnAg6.

Unit cell a=7.6591 b=7.6591 c=9.8615 alpha=90.00 beta=90.00 gamma=120.00
With the nearest neighbours (Å) after each atom.
Space group R-3m (No. 166, hexagonal axes)
One atom of each set of equivalent atoms:
Mg 0.0000 0.0000 0.0000 (multiplicity 3)  6 Ag 2.81
Zn 0.0000 0.0000 0.5000 (multiplicity 3)  6 Ag 2.62
Ag 0.0859 0.5430 0.3737 (multiplicity 18)  1 Zn 2.62, 5 Ag 2.74-2.89, 1 Mg 2.81

Computed properties:
The density of states at the Fermi level comes out at 2.77 states/eV/f.u. As for the crystal system: trigonal. The formation energy is 169 meV/atom. As for the total energy: -55.87 eV for the cell shown. As for the distance to the lowest polymorph of the same formula: 24.20 kJ/mol of atoms.

# 4
The following is a DFT calculation (GGA-PBE) of a relaxed structure of FeCS2.

Unit cell a=2.9604 b=2.9604 c=19.8598 alpha=90.00 beta=90.00 gamma=120.00
With the nearest neighbours (Å) after each atom.
Space group R-3m (No. 166, hexagonal axes)
One atom of each set of equivalent atoms:
Fe 0.0000 0.0000 0.0000 (multiplicity 3)  2 S 2.09
C 0.0000 0.0000 0.5000 (multiplicity 3)  6 S 2.10
S 0.0000 0.0000 0.1051 (multiplicity 6)  1 Fe 2.09, 3 C 2.10

Computed properties:
The density of states at the Fermi level comes out at 2.80 states/eV/f.u. As for the crystal system: trigonal. The raw formation energy is 4.84 eV per formula unit. As for the total energy: -63.30 eV for the cell shown.